InPRh3: relaxed, GGA-PBE.

Cell and atoms, written as POSCAR:
```
InPRh3
1.0
4.840 0.000 0.000
0.000 4.840 0.000
0.000 0.000 4.840
In P Rh
1 1 3
Cartesian
0.000 0.000 0.000
2.420 2.420 2.420
0.000 0.000 2.420
0.000 2.420 0.000
2.420 0.000 0.000
```

- ΔH_f (0 K): 1.603 eV/atom
- Volume: 22.7 Å³ per atom
- Space group: Pm-3m, No. 221
- Magnetic moment: 1.59 μB/f.u.



Hf2AlCd2: relaxed, GGA-PBE.

Cell and atoms, written as POSCAR:
```
Hf2AlCd2
1.0
-1.508 1.508 11.150
1.508 -1.508 11.150
1.508 1.508 -11.150
Hf Al Cd
2 1 2
Cartesian
0.000 0.000 2.002
0.000 0.000 20.299
0.000 0.000 11.150
0.000 0.000 6.780
0.000 0.000 15.520
```

- ΔH_f (0 K): -0.173 eV/atom
- Volume: 20.3 Å³ per atom
- Space group: I4/mmm, No. 139
- Magnetic moment: 0.00 μB/f.u.



LiHg2Se: relaxed, GGA-PBE.

Cell and atoms, written as POSCAR:
```
LiHg2Se
1.0
-2.167 3.094 3.625
2.167 -3.094 3.625
2.167 3.094 -3.625
Li Hg Se
1 2 1
Cartesian
0.000 0.000 0.000
0.000 0.000 3.363
0.000 3.094 1.750
2.167 0.000 1.326
```

- Formation energy without anion corrections: -1.07 eV per formula unit
- Volume: 24.3 Å³ per atom
- Space group: Imm2, No. 44
- Magnetic moment: 0.00 μB/f.u.



YInAs2Pt: relaxed, GGA-PBE.

Cell and atoms, written as POSCAR:
```
YInAs2Pt
1.0
5.064 0.000 0.000
0.000 5.064 0.000
0.000 0.000 4.987
Y In As Pt
1 1 2 1
Cartesian
0.000 0.000 0.000
2.532 2.532 0.000
0.000 2.532 2.494
2.532 0.000 2.494
2.532 2.532 2.494
```

- ΔH_f (0 K): -0.004 eV/atom
- Volume: 25.6 Å³ per atom
- Space group: P4/mmm, No. 123
- Magnetic moment: 0.00 μB/f.u.



Ac2La3N4: relaxed, GGA-PBE.

Cell and atoms, written as POSCAR:
```
Ac2La3N4
1.0
6.317 -1.889 0.000
6.317 1.889 0.000
-4.631 0.000 8.254
Ac La N
2 3 4
Cartesian
-0.474 0.000 3.158
8.477 0.000 5.095
2.826 0.000 1.492
6.317 0.000 0.000
5.177 0.000 6.761
-2.833 0.000 7.540
0.624 0.000 5.786
7.378 0.000 2.467
10.836 0.000 0.714
```

- Formation energy without anion corrections: -9.94 eV per formula unit
- Volume: 21.9 Å³ per atom
- Space group: C2/m, No. 12
- Magnetic moment: 0.55 μB/f.u.



Tl4In2Sn5: relaxed, GGA-PBE.

Cell and atoms, written as POSCAR:
```
Tl4In2Sn5
1.0
5.619 -3.279 0.000
5.619 3.279 0.000
-2.944 0.000 8.968
Tl In Sn
4 2 5
Cartesian
1.534 0.000 1.187
0.450 0.000 4.575
7.844 0.000 4.393
6.760 0.000 7.781
1.328 0.000 7.888
6.967 0.000 1.080
4.263 1.700 1.882
4.032 1.700 7.086
4.147 0.000 4.484
4.263 -1.700 1.882
4.032 -1.700 7.086
```

- ΔH_f (0 K): 0.051 eV/atom
- Volume: 30.0 Å³ per atom
- Space group: C2/m, No. 12
- Magnetic moment: 0.00 μB/f.u.



CoSbPS2: relaxed, GGA-PBE.

Cell and atoms, written as POSCAR:
```
CoSbPS2
1.0
4.693 0.000 0.000
0.000 4.693 0.000
0.000 0.000 4.134
Co Sb P S
1 1 1 2
Cartesian
0.000 0.000 0.000
2.346 2.346 2.067
0.000 0.000 2.067
0.000 2.346 0.000
2.346 0.000 0.000
```

- Formation energy without anion corrections: 1.59 eV per formula unit
- Volume: 18.2 Å³ per atom
- Space group: P4/mmm, No. 123
- Magnetic moment: 0.00 μB/f.u.



CaTaSn2H: relaxed, GGA-PBE.

Cell and atoms, written as POSCAR:
```
CaTaSn2H
1.0
5.684 0.000 0.000
0.000 5.684 0.000
0.000 0.000 5.018
Ca Ta Sn H
1 1 2 1
Cartesian
0.000 0.000 0.000
0.000 0.000 2.509
0.000 2.842 0.000
2.842 0.000 0.000
2.842 2.842 2.509
```

- Volume: 32.4 Å³ per atom
- Total DFT energy (no corrections): -3.033 eV per atom
- Space group: P4/mmm, No. 123
- Magnetic moment: 0.86 μB/f.u.



Ho3CdTe: relaxed, GGA-PBE.

Cell and atoms, written as POSCAR:
```
Ho3CdTe
1.0
8.638 0.000 0.000
0.000 4.036 0.000
-3.044 0.000 8.351
Ho Cd Te
6 2 2
Cartesian
0.000 0.000 0.000
-0.969 2.018 2.868
1.866 0.000 3.169
0.781 0.000 7.362
5.030 0.000 2.330
4.204 2.018 5.222
2.289 2.018 0.898
6.593 0.000 5.251
1.083 2.018 5.208
6.164 2.018 0.077
```

- Formation energy without anion corrections: -2.51 eV per formula unit
- Volume: 29.1 Å³ per atom
- Space group: Pm, No. 6
- Magnetic moment: 0.00 μB/f.u.



As2PbAu2: relaxed, GGA-PBE.

Cell and atoms, written as POSCAR:
```
As2PbAu2
1.0
8.041 0.000 0.000
0.000 8.041 0.000
0.000 0.000 3.311
As Pb Au
4 2 4
Cartesian
1.384 2.637 0.000
2.637 6.657 0.000
5.404 1.384 0.000
6.657 5.404 0.000
0.000 0.000 1.656
4.020 4.020 1.656
1.042 5.063 1.656
2.978 1.042 1.656
5.063 6.998 1.656
6.998 2.978 1.656
```

- ΔH_f (0 K): 0.175 eV/atom
- Volume: 21.4 Å³ per atom
- Space group: P4/mbm, No. 127
- Magnetic moment: 0.00 μB/f.u.



TbPr2Sm3Tm6: relaxed, GGA-PBE.

Cell and atoms, written as POSCAR:
```
TbPr2Sm3Tm6
1.0
3.096 -5.360 0.000
3.096 5.360 0.000
-2.057 0.000 11.529
Tb Pr Sm Tm
1 2 3 6
Cartesian
0.000 0.000 0.000
3.096 1.784 0.000
3.096 -1.784 0.000
2.067 3.572 5.764
2.067 0.000 5.764
2.067 -3.572 5.764
1.035 1.785 2.893
-0.001 0.000 8.633
1.035 -1.785 2.893
3.099 1.785 8.636
4.135 0.000 2.896
3.099 -1.785 8.636
```

- ΔH_f (0 K): 0.018 eV/atom
- Volume: 31.9 Å³ per atom
- Space group: C2/m, No. 12
- Magnetic moment: 0.00 μB/f.u.



Zn2SiAg: relaxed, GGA-PBE.

Cell and atoms, written as POSCAR:
```
Zn2SiAg
1.0
1.383 0.798 9.721
-1.383 0.798 9.721
0.000 -1.597 9.721
Zn Si Ag
2 1 1
Cartesian
0.000 0.000 0.000
0.000 0.000 7.192
0.000 0.000 14.519
0.000 0.000 21.846
```

- Formation energy without anion corrections: 0.68 eV per formula unit
- Volume: 16.1 Å³ per atom
- Space group: R3m, No. 160
- Magnetic moment: 0.00 μB/f.u.



ZrBeCoNi: relaxed, GGA-PBE.

Cell and atoms, written as POSCAR:
```
ZrBeCoNi
1.0
0.000 2.959 2.959
2.959 0.000 2.959
2.959 2.959 0.000
Zr Be Co Ni
1 1 1 1
Cartesian
0.000 0.000 0.000
2.959 2.959 2.959
4.439 4.439 4.439
1.480 1.480 1.480
```

- ΔH_f (0 K): -0.231 eV/atom
- Volume: 13.0 Å³ per atom
- Space group: F-43m, No. 216
- Magnetic moment: 0.00 μB/f.u.



Sr2LaHoS4: relaxed, GGA-PBE.

Cell and atoms, written as POSCAR:
```
Sr2LaHoS4
1.0
7.131 0.000 0.000
0.000 4.108 0.000
-2.363 0.000 6.845
Sr La Ho S
2 1 1 4
Cartesian
0.000 0.000 0.000
3.565 2.054 0.000
-1.181 2.054 3.423
2.384 0.000 3.423
0.092 0.000 5.057
1.265 2.054 1.837
3.503 2.054 5.008
4.676 0.000 1.788
```

- Formation energy without anion corrections: -16.46 eV per formula unit
- Volume: 25.1 Å³ per atom
- Space group: P2/m, No. 10
- Magnetic moment: 0.00 μB/f.u.



BaLi2NpF8: relaxed, GGA-PBE.

Cell and atoms, written as POSCAR:
```
BaLi2NpF8
1.0
5.572 0.000 0.000
-2.786 4.825 0.000
0.000 0.000 7.916
Ba Li Np F
1 2 1 8
Cartesian
0.000 0.000 0.000
0.000 3.217 1.612
2.786 1.608 6.304
0.000 0.000 3.958
0.000 1.578 2.481
-1.419 4.036 2.481
1.367 0.789 5.435
0.000 3.217 7.759
2.786 1.608 0.158
1.419 4.036 2.481
4.205 0.789 5.435
2.786 3.247 5.435
```

- Formation energy without anion corrections: -39.37 eV per formula unit
- Volume: 17.7 Å³ per atom
- Space group: P-3m1, No. 164
- Magnetic moment: 3.00 μB/f.u.



Er8ReSb2: relaxed, GGA-PBE.

Cell and atoms, written as POSCAR:
```
Er8ReSb2
1.0
9.564 -2.481 0.000
9.564 2.481 0.000
-1.861 0.000 6.358
Er Re Sb
8 1 2
Cartesian
-0.141 0.000 1.842
2.635 0.000 5.249
5.840 0.000 3.134
7.784 0.000 0.271
9.483 0.000 6.087
11.428 0.000 3.223
14.633 0.000 1.109
17.408 0.000 4.516
8.634 0.000 3.179
2.978 0.000 1.637
14.290 0.000 4.721
```

- Formation energy without anion corrections: -3.70 eV per formula unit
- Volume: 27.4 Å³ per atom
- Space group: C2/m, No. 12
- Magnetic moment: 0.00 μB/f.u.



AcDy2Y2: relaxed, GGA-PBE.

Cell and atoms, written as POSCAR:
```
AcDy2Y2
1.0
3.383 -8.363 0.000
3.383 8.363 0.000
-2.886 0.000 6.093
Ac Dy Y
2 4 4
Cartesian
1.219 5.825 4.570
2.662 -5.825 1.523
-1.146 0.626 6.073
0.297 -0.626 3.027
3.584 0.626 3.066
5.026 -0.626 0.019
2.662 4.171 1.523
1.219 2.473 4.570
2.662 -2.473 1.523
1.219 -4.171 4.570
```

- ΔH_f (0 K): 0.083 eV/atom
- Volume: 34.5 Å³ per atom
- Space group: C2/c, No. 15
- Magnetic moment: 0.00 μB/f.u.



BaMn2In: relaxed, GGA-PBE.

Cell and atoms, written as POSCAR:
```
BaMn2In
1.0
1.762 1.017 9.693
-1.762 1.017 9.693
0.000 -2.034 9.693
Ba Mn In
1 2 1
Cartesian
0.000 0.000 0.000
0.000 0.000 6.878
0.000 0.000 22.201
0.000 0.000 14.539
```

- ΔH_f (0 K): 0.732 eV/atom
- Volume: 26.0 Å³ per atom
- Space group: R-3m, No. 166
- Magnetic moment: 7.76 μB/f.u.



ZrScMoOs: relaxed, GGA-PBE.

Cell and atoms, written as POSCAR:
```
ZrScMoOs
1.0
0.000 3.285 3.285
3.285 0.000 3.285
3.285 3.285 0.000
Zr Sc Mo Os
1 1 1 1
Cartesian
0.000 0.000 0.000
3.285 3.285 3.285
1.643 1.643 1.643
4.928 4.928 4.928
```

- ΔH_f (0 K): -0.107 eV/atom
- Volume: 17.7 Å³ per atom
- Space group: F-43m, No. 216
- Magnetic moment: 0.00 μB/f.u.



K3La3SnSe8: relaxed, GGA-PBE.

Cell and atoms, written as POSCAR:
```
K3La3SnSe8
1.0
4.343 2.507 7.840
-4.343 2.507 7.840
0.000 -5.015 7.840
K La Sn Se
3 3 1 8
Cartesian
-2.171 -1.254 7.840
-2.171 1.254 15.681
0.000 2.507 7.840
-4.343 0.000 11.761
-2.171 1.254 3.920
2.171 1.254 3.920
0.000 0.000 11.761
0.000 0.000 5.570
-2.003 -1.156 13.336
0.000 -2.312 10.186
-2.003 1.156 10.186
2.003 -1.156 13.336
0.000 2.312 13.336
2.003 1.156 10.186
0.000 0.000 17.951
```

- Formation energy without anion corrections: -22.42 eV per formula unit
- Volume: 34.2 Å³ per atom
- Space group: R-3m, No. 166
- Magnetic moment: 0.00 μB/f.u.



CsTl2BiO: relaxed, GGA-PBE.

Cell and atoms, written as POSCAR:
```
CsTl2BiO
1.0
5.674 0.000 0.000
0.000 5.674 0.000
0.000 0.000 4.938
Cs Tl Bi O
1 2 1 1
Cartesian
0.000 0.000 0.000
0.000 2.837 2.469
2.837 0.000 2.469
2.837 2.837 0.000
2.837 2.837 2.469
```

- Formation energy without anion corrections: -1.03 eV per formula unit
- Volume: 31.8 Å³ per atom
- Space group: P4/mmm, No. 123
- Magnetic moment: 0.00 μB/f.u.



Y3CuBr: relaxed, GGA-PBE.

Cell and atoms, written as POSCAR:
```
Y3CuBr
1.0
5.397 0.000 0.000
0.000 5.397 0.000
0.000 0.000 5.397
Y Cu Br
3 1 1
Cartesian
0.000 0.000 2.699
0.000 2.699 0.000
2.699 0.000 0.000
0.000 0.000 0.000
2.699 2.699 2.699
```

- Formation energy without anion corrections: -0.21 eV per formula unit
- Volume: 31.4 Å³ per atom
- Space group: Pm-3m, No. 221
- Magnetic moment: 0.00 μB/f.u.



Si2IrRu: relaxed, GGA-PBE.

Cell and atoms, written as POSCAR:
```
Si2IrRu
1.0
1.426 0.824 7.652
-1.426 0.824 7.652
0.000 -1.647 7.652
Si Ir Ru
2 1 1
Cartesian
0.000 0.000 5.701
0.000 0.000 17.256
0.000 0.000 0.000
0.000 0.000 11.478
```

- Formation energy without anion corrections: -1.68 eV per formula unit
- Volume: 13.5 Å³ per atom
- Space group: R-3m, No. 166
- Magnetic moment: 0.00 μB/f.u.



Zr2GaCl: relaxed, GGA-PBE.

Cell and atoms, written as POSCAR:
```
Zr2GaCl
1.0
0.000 3.377 3.377
3.377 0.000 3.377
3.377 3.377 0.000
Zr Ga Cl
2 1 1
Cartesian
1.688 1.688 1.688
5.065 5.065 5.065
0.000 0.000 0.000
3.377 3.377 3.377
```

- Formation energy without anion corrections: -1.43 eV per formula unit
- Volume: 19.2 Å³ per atom
- Space group: Fm-3m, No. 225
- Magnetic moment: 0.00 μB/f.u.



Ca2NiIr: relaxed, GGA-PBE.

Cell and atoms, written as POSCAR:
```
Ca2NiIr
1.0
2.075 1.198 7.317
-2.075 1.198 7.317
0.000 -2.396 7.317
Ca Ni Ir
2 1 1
Cartesian
0.000 0.000 0.000
0.000 0.000 3.622
0.000 0.000 9.123
0.000 0.000 16.449
```

- ΔH_f (0 K): -0.262 eV/atom
- Volume: 27.3 Å³ per atom
- Space group: R3m, No. 160
- Magnetic moment: 0.09 μB/f.u.